# PBE LiCaTi3, optimized geometry
data_LiCaTi3
_space_group_name_H-M_alt 'P 1'
_space_group_IT_number 1
_cell_length_a 4.7226
_cell_length_b 4.7226
_cell_length_c 4.7226
_cell_angle_alpha 90.00
_cell_angle_beta 90.00
_cell_angle_gamma 90.00
loop_
_space_group_symop_operation_xyz
'x,y,z'
loop_
_atom_site_label
_atom_site_type_symbol
_atom_site_fract_x
_atom_site_fract_y
_atom_site_fract_z
Ca1 Ca 0.5000 0.5000 0.5000
Li1 Li 0.0000 0.0000 0.0000
Ti1 Ti 0.0000 0.5000 0.0000
Ti2 Ti 0.0000 0.0000 0.5000
Ti3 Ti 0.5000 0.0000 0.0000
# Calculated formation energy (eV/atom): 0.911
# Space group: No. 221